Here is Dy3Co11B4 after structural relaxation from Alexandria via LeMat-Bulk. Energies are from GGA-PBEsol.

Computed properties:
- Size of the total moment: 6.6 μB per formula unit
- E: -7.5357 eV/atom
- Space-group type: P6/mmm
- ρ: 9.6 Mg/m³
- V: 11.31 Å³/atom
- E_form: -419 meV per atom

Unit cell a=4.9369 b=4.9369 c=9.6475 alpha=90.00 beta=90.00 gamma=120.00
Element x y z (fractional)
Dy (0.0000, 0.0000, 0.0000)
Dy (0.0000, 0.0000, 0.3414)
Dy (0.0000, 0.0000, 0.6586)
Co (0.0000, 0.5000, 0.2007)
Co (0.0000, 0.5000, 0.5000)
Co (0.0000, 0.5000, 0.7993)
Co (0.3333, 0.6667, 0.0000)
Co (0.5000, 0.0000, 0.2007)
Co (0.5000, 0.0000, 0.5000)
Co (0.5000, 0.0000, 0.7993)
Co (0.5000, 0.5000, 0.2007)
Co (0.5000, 0.5000, 0.5000)
Co (0.5000, 0.5000, 0.7993)
Co (0.6667, 0.3333, 0.0000)
B (0.3333, 0.6667, 0.3490)
B (0.3333, 0.6667, 0.6510)
B (0.6667, 0.3333, 0.3490)
B (0.6667, 0.3333, 0.6510)